Record 1
{
  "formula": "Th3Cd2Au3",
  "functional": "GGA-PBE",
  "state": "relaxed",
  "formation_energy_ev_per_fu": -3.1,
  "magmom_total_mub_per_atom": 0.000,
  "lattice": [[-1.747, 2.637, 10.968], [1.747, -2.637, 10.968], [1.747, 2.637, -10.968]],
  "species": ["Th", "Th", "Th", "Cd", "Cd", "Au", "Au", "Au"],
  "frac_coords": [[0.000, 0.000, 0.000], [0.369, 0.869, 0.500], [0.631, 0.131, 0.500], [0.235, 0.235, 0.000], [0.765, 0.765, 0.000], [0.120, 0.620, 0.500], [0.500, 0.500, 0.000], [0.880, 0.380, 0.500]]
}


Record 2
{
  "formula": "Th3CdAu",
  "functional": "GGA-PBE",
  "state": "relaxed",
  "formation_energy_ev_per_fu": -0.9,
  "magmom_total_mub_per_atom": 0.000,
  "lattice": [[4.528, 0.000, 0.000], [0.000, 6.804, 0.000], [-2.256, 0.000, 9.371]],
  "species": ["Th", "Th", "Th", "Th", "Th", "Th", "Cd", "Cd", "Au", "Au"],
  "frac_coords": [[0.096, 0.004, 0.192], [0.096, 0.496, 0.192], [0.278, 0.250, 0.558], [0.722, 0.750, 0.442], [0.904, 0.504, 0.808], [0.904, 0.996, 0.808], [0.496, 0.250, 0.993], [0.504, 0.750, 0.007], [0.329, 0.750, 0.657], [0.671, 0.250, 0.343]]
}


Record 3
{
  "formula": "Th2Cd3Au",
  "functional": "GGA-PBE",
  "state": "relaxed",
  "formation_energy_ev_per_fu": -1.9,
  "magmom_total_mub_per_atom": 0.000,
  "lattice": [[3.402, 0.000, 0.000], [0.000, 5.028, 0.000], [0.000, 0.000, 8.725]],
  "species": ["Th", "Th", "Cd", "Cd", "Cd", "Au"],
  "frac_coords": [[0.000, 0.000, 0.000], [0.000, 0.500, 0.469], [0.500, 0.000, 0.652], [0.500, 0.500, 0.147], [0.500, 0.500, 0.813], [0.500, 0.000, 0.321]]
}


Record 4
{
  "formula": "ThCd2Au2",
  "functional": "GGA-PBE",
  "state": "relaxed",
  "formation_energy_ev_per_fu": -2.0,
  "magmom_total_mub_per_atom": 0.000,
  "lattice": [[2.345, 1.354, 6.138], [-2.345, 1.354, 6.138], [0.000, -2.708, 6.138]],
  "species": ["Th", "Cd", "Cd", "Au", "Au"],
  "frac_coords": [[0.000, 0.000, 0.000], [0.202, 0.202, 0.202], [0.798, 0.798, 0.798], [0.417, 0.417, 0.417], [0.583, 0.583, 0.583]]
}